1.
TmTeI: optimized geometry, PBE.

Cell lengths 7.4231, 4.3139, 7.4316 Å; angles 90.00, 93.04, 90.00 degrees
Closest atoms and distances in Å follow each position.
Space group P2/m (No. 10)
Asymmetric unit:
Tm  0.0000  0.0000  0.0000 [1 per cell]  2 Te 2.96, 4 I 3.08
Tm  0.0000  0.5000  0.5000 [1 per cell]  4 Te 3.03, 2 I 3.12
Te  0.2276  0.0000  0.6853 [2 per cell]  3 Tm 2.96-3.03
I  0.2496  0.5000  0.1745 [2 per cell]  3 Tm 3.08-3.12

Calculated values
- energy (eV/atom) = -4.355
- raw formation energy (meV per atom) = -1301
- calculated volume (Å³ per atom) = 39.6
- total magnetization (μB per cell) = 0.00

=====

2.
TmTeI: optimized geometry, PBE.

Cell lengths 4.3175, 4.3175, 7.4195 Å; angles 90.00, 90.00, 120.00 degrees
Closest atoms and distances in Å follow each position.
Space group P3m1 (No. 156)
Asymmetric unit:
Tm  0.0000  0.0000  0.0000 [1 per cell]  3 Te 2.96, 3 I 3.17
Te  0.3333  0.6667  0.7855 [1 per cell]  3 Tm 2.96
I  0.6667  0.3333  0.2634 [1 per cell]  3 Tm 3.17

Calculated values
- energy (eV/atom) = -4.390
- raw formation energy (meV per atom) = -1336
- Fermi-level density of states (states/eV/f.u.) = 0.00
- calculated volume (Å³ per atom) = 39.9
- total magnetization (μB per cell) = 0.00

=====

3.
UTe2I8: optimized geometry, PBE.

Cell lengths 9.7730, 12.9155, 11.1934 Å; angles 90.00, 106.70, 90.00 degrees
Closest atoms and distances in Å follow each position.
Space group C2/m (No. 12)
Asymmetric unit:
U  0.0000  0.0000  0.0000 [2 per cell]  6 I 2.92-2.96
Te  0.0877  0.0000  0.4215 [4 per cell]  1 I 2.73, 1 Te 2.79
I  0.0992  0.1587  0.8581 [8 per cell]  1 U 2.92
I  0.1670  0.5000  0.3848 [4 per cell]  1 Te 2.73
I  0.2197  0.5000  0.8072 [4 per cell]  1 U 2.96

Calculated values
- energy (eV/atom) = -3.118
- raw formation energy (meV per atom) = -393
- Fermi-level density of states (states/eV/f.u.) = 4.20
- calculated volume (Å³ per atom) = 61.5
- total magnetization (μB per cell) = 4.00

=====

4.
UTeI2: optimized geometry, PBE.

Cell lengths 3.9655, 11.9886, 7.5772 Å; angles 90.00, 90.00, 90.00 degrees
Closest atoms and distances in Å follow each position.
Space group Imm2 (No. 44)
Asymmetric unit:
U  0.0000  0.0000  0.0000 [2 per cell]  2 Te 2.96, 4 I 3.11
Te  0.0000  0.5000  0.2097 [2 per cell]  2 U 2.96
I  0.0000  0.3325  0.6736 [4 per cell]  2 U 3.11

Calculated values
- energy (eV/atom) = -5.005
- raw formation energy (meV per atom) = -622
- Fermi-level density of states (states/eV/f.u.) = 3.81
- calculated volume (Å³ per atom) = 45.0
- total magnetization (μB per cell) = 4.00